# PuScH

A geometry-optimized PuScH structure (PBE, Alexandria via LeMat-Bulk).

The calculation puts the electronic total energy at -8.122 eV/atom. The value obtained for the density of states at the Fermi level is 8.3 states/eV per cell.

Cell lengths 3.2839, 3.2839, 5.5320 Å; angles 90.00, 90.00, 120.00 degrees
Space group P3m1 (No. 156)
Symmetry-distinct sites (fractional):
Pu1 0.0000 0.0000 0.0000 (multiplicity 1)
Sc1 0.3333 0.6667 0.4948 (multiplicity 1)
H1 0.6667 0.3333 0.2770 (multiplicity 1)

# PuSc2H7

A geometry-optimized PuSc2H7 structure (PBE, Alexandria via LeMat-Bulk).

The calculation puts the electronic total energy at -5.615 eV/atom. The value obtained for the density of states at the Fermi level is 12.1 states/eV per cell.

Cell lengths 3.406, 3.406, 15.301 Å; angles 90.00, 90.00, 90.00 degrees
Space group I4/mmm (No. 139)
Symmetry-distinct sites (fractional):
Pu1 0.000 0.000 0.000 (multiplicity 2)
Sc1 0.000 0.000 0.328 (multiplicity 4)
H1 0.000 0.000 0.500 (multiplicity 2)
H2 0.000 0.500 0.099 (multiplicity 8)
H3 0.000 0.500 0.250 (multiplicity 4)

# Pu4HSe2

A geometry-optimized Pu4HSe2 structure (PBE, Alexandria via LeMat-Bulk).

The calculation puts the electronic total energy at -10.361 eV/atom. The value obtained for the density of states at the Fermi level is 55.3 states/eV per cell.

Cell lengths 4.325, 4.325, 16.411 Å; angles 90.00, 90.00, 90.00 degrees
Space group I4/mmm (No. 139)
Symmetry-distinct sites (fractional):
Pu1 0.000 0.000 0.181 (multiplicity 4)
Pu2 0.000 0.500 0.000 (multiplicity 4)
H1 0.000 0.000 0.000 (multiplicity 2)
Se1 0.000 0.000 0.363 (multiplicity 4)